Density functional theory data (PBE) for crystalline NbCo2Mo at its relaxed geometry.

abc: 6.6530 6.6530 5.2610
angles: 90.00 90.00 90.00
Element x y z (fractional)
Nb: 0.0000 0.0000 0.0000
Nb: 0.0000 0.5000 0.2500
Nb: 0.5000 0.0000 0.7500
Nb: 0.5000 0.5000 0.5000
Co: 0.2378 0.2500 0.6250
Co: 0.2500 0.7378 0.8750
Co: 0.2500 0.7622 0.3750
Co: 0.2622 0.2500 0.1250
Co: 0.7378 0.7500 0.1250
Co: 0.7500 0.2378 0.3750
Co: 0.7500 0.2622 0.8750
Co: 0.7622 0.7500 0.6250
Mo: 0.0000 0.0000 0.5000
Mo: 0.0000 0.5000 0.7500
Mo: 0.5000 0.0000 0.2500
Mo: 0.5000 0.5000 0.0000

Density of states at the Fermi level, states/eV per cell: 11.72
Energy above the lowest structure with this stoichiometry, meV per atom: 428
Total magnetization, μB/f.u.: 0.00
Energy of formation, eV/atom: 0.42
Space group: No. 122

=====

Density functional theory data (PBE) for crystalline NbCo4Mo at its relaxed geometry.

abc: 4.7293 4.7293 4.7293
angles: 60.00 60.00 60.00
Element x y z (fractional)
Nb: 0.0000 0.0000 0.0000
Co: 0.1261 0.6246 0.6246
Co: 0.6246 0.1261 0.6246
Co: 0.6246 0.6246 0.1261
Co: 0.6246 0.6246 0.6246
Mo: 0.2500 0.2500 0.2500

Density of states at the Fermi level, states/eV per cell: 10.35
Energy above the lowest structure with this stoichiometry, meV per atom: 0
Total magnetization, μB/f.u.: 2.79
Energy of formation, eV/atom: -0.05
Space group: No. 216

=====

Density functional theory data (PBE) for crystalline NbCoMo2 at its relaxed geometry.

abc: 6.2360 6.2360 6.2360
angles: 90.00 90.00 90.00
Element x y z (fractional)
Nb: 0.0000 0.0000 0.0000
Nb: 0.0000 0.5000 0.5000
Nb: 0.5000 0.0000 0.5000
Nb: 0.5000 0.5000 0.0000
Co: 0.0000 0.0000 0.5000
Co: 0.0000 0.5000 0.0000
Co: 0.5000 0.0000 0.0000
Co: 0.5000 0.5000 0.5000
Mo: 0.2500 0.2500 0.2500
Mo: 0.2500 0.2500 0.7500
Mo: 0.2500 0.7500 0.2500
Mo: 0.2500 0.7500 0.7500
Mo: 0.7500 0.2500 0.2500
Mo: 0.7500 0.2500 0.7500
Mo: 0.7500 0.7500 0.2500
Mo: 0.7500 0.7500 0.7500

Density of states at the Fermi level, states/eV per cell: 32.47
Energy above the lowest structure with this stoichiometry, meV per atom: 0
Total magnetization, μB/f.u.: 0.00
Energy of formation, eV/atom: 0.22
Space group: No. 225

=====

Density functional theory data (PBE) for crystalline NbCo4Mo at its relaxed geometry.

abc: 7.1382 3.5791 6.1816
angles: 90.00 90.00 90.00
Element x y z (fractional)
Nb: 0.2500 0.0000 0.1731
Nb: 0.7500 0.0000 0.8269
Co: 0.0000 0.0000 0.5000
Co: 0.0257 0.5000 0.8054
Co: 0.2500 0.5000 0.4658
Co: 0.4743 0.5000 0.8054
Co: 0.5000 0.0000 0.5000
Co: 0.5257 0.5000 0.1946
Co: 0.7500 0.5000 0.5342
Co: 0.9743 0.5000 0.1946
Mo: 0.2500 0.0000 0.7557
Mo: 0.7500 0.0000 0.2443

Density of states at the Fermi level, states/eV per cell: 15.10
Energy above the lowest structure with this stoichiometry, meV per atom: 303
Total magnetization, μB/f.u.: 0.63
Energy of formation, eV/atom: 0.25
Space group: No. 51